P.
Material: YZrCo
Method: DFT, PBE-GGA
State: optimized geometry

Lattice parameters (Å, degrees): 6.499 5.854 8.943 90.00 126.77 90.00
Fractional positions:
Y 0.186 0.132 0.393
Y 0.186 0.368 0.893
Y 0.814 0.632 0.107
Y 0.814 0.868 0.607
Zr 0.331 0.625 0.629
Zr 0.331 0.875 0.129
Zr 0.669 0.125 0.871
Zr 0.669 0.375 0.371
Co 0.338 0.641 0.356
Co 0.338 0.859 0.856
Co 0.662 0.141 0.144
Co 0.662 0.359 0.644

Results
Space-group type ... P2_1/c (14)
Mass density ... 5.826 g cm⁻³
Size of the total moment ... 0.0000 μB per atom



Q.
Material: YZrCo
Method: DFT, PBE-GGA
State: optimized geometry

Lattice parameters (Å, degrees): 5.444 4.290 5.819 90.00 104.28 90.00
Fractional positions:
Y 0.073 0.250 0.276
Y 0.927 0.750 0.724
Zr 0.463 0.250 0.813
Zr 0.537 0.750 0.187
Co 0.381 0.750 0.574
Co 0.619 0.250 0.426

Results
Space-group type ... P2_1/m (11)
Mass density ... 6.028 g cm⁻³
Size of the total moment ... 0.0000 μB per atom



Which of them is the most stable? Correct choice: Q.



P.
Material: YZr3Co
Method: DFT, PBE-GGA
State: optimized geometry

Lattice parameters (Å, degrees): 4.941 4.941 4.941 90.00 90.00 90.00
Fractional positions:
Y 0.000 0.000 0.000
Zr 0.000 0.500 0.500
Zr 0.500 0.000 0.500
Zr 0.500 0.500 0.000
Co 0.500 0.500 0.500

Results
Space-group type ... Pm-3m (221)
Mass density ... 5.804 g cm⁻³
Size of the total moment ... 0.0000 μB per atom



Q.
Material: YZr3Co
Method: DFT, PBE-GGA
State: optimized geometry

Lattice parameters (Å, degrees): 5.134 5.134 5.134 90.00 90.00 90.00
Fractional positions:
Y 0.000 0.000 0.000
Zr 0.000 0.000 0.500
Zr 0.000 0.500 0.000
Zr 0.500 0.000 0.000
Co 0.500 0.500 0.500

Results
Space-group type ... Pm-3m (221)
Mass density ... 5.172 g cm⁻³
Size of the total moment ... 0.3050 μB per atom



Which of them is the most stable? Correct choice: P.



P.
Material: Zn5Co4
Method: DFT, PBE-GGA
State: optimized geometry

Lattice parameters (Å, degrees): 5.780 5.780 5.780 96.01 96.01 142.25
Fractional positions:
Zn 0.000 0.000 0.000
Zn 0.329 0.329 0.659
Zn 0.329 0.671 0.000
Zn 0.671 0.329 0.000
Zn 0.671 0.671 0.341
Co 0.000 0.345 0.345
Co 0.000 0.655 0.655
Co 0.345 0.000 0.345
Co 0.655 0.000 0.655

Results
Space-group type ... I4/mmm (139)
Mass density ... 8.353 g cm⁻³
Size of the total moment ... 0.5190 μB per atom



Q.
Material: Zn5Co4
Method: DFT, PBE-GGA
State: optimized geometry

Lattice parameters (Å, degrees): 7.209 7.209 4.940 90.00 90.00 120.00
Fractional positions:
Zn 0.000 0.309 0.250
Zn 0.000 0.691 0.750
Zn 0.309 0.000 0.250
Zn 0.309 0.309 0.750
Zn 0.333 0.667 0.000
Zn 0.333 0.667 0.500
Zn 0.667 0.333 0.000
Zn 0.667 0.333 0.500
Zn 0.691 0.000 0.750
Zn 0.691 0.691 0.250
Co 0.000 0.000 0.000
Co 0.000 0.000 0.500
Co 0.000 0.353 0.750
Co 0.000 0.647 0.250
Co 0.353 0.000 0.750
Co 0.353 0.353 0.250
Co 0.647 0.000 0.250
Co 0.647 0.647 0.750

Results
Space-group type ... P6_3/mcm (193)
Mass density ... 8.406 g cm⁻³
Size of the total moment ... 0.0721 μB per atom



Which of them is the most stable? Correct choice: P.



P.
Material: Zn5Co3
Method: DFT, PBE-GGA
State: optimized geometry

Lattice parameters (Å, degrees): 5.098 5.098 3.880 90.00 90.00 96.95
Fractional positions:
Zn 0.000 0.000 0.000
Zn 0.000 0.500 0.000
Zn 0.274 0.274 0.500
Zn 0.500 0.000 0.000
Zn 0.726 0.726 0.500
Co 0.233 0.767 0.500
Co 0.500 0.500 0.000
Co 0.767 0.233 0.500

Results
Space-group type ... Cmmm (65)
Mass density ... 8.359 g cm⁻³
Size of the total moment ... 0.1002 μB per atom



Q.
Material: Zn5Co3
Method: DFT, PBE-GGA
State: optimized geometry

Lattice parameters (Å, degrees): 7.080 7.080 7.080 96.36 96.07 141.58
Fractional positions:
Zn 0.071 0.269 0.340
Zn 0.231 0.571 0.802
Zn 0.250 0.250 0.000
Zn 0.269 0.071 0.340
Zn 0.429 0.769 0.197
Zn 0.571 0.231 0.803
Zn 0.731 0.929 0.660
Zn 0.750 0.750 0.000
Zn 0.769 0.429 0.198
Zn 0.929 0.731 0.660
Co 0.177 0.823 0.000
Co 0.250 0.750 0.500
Co 0.323 0.323 0.646
Co 0.677 0.677 0.354
Co 0.750 0.250 0.500
Co 0.823 0.177 0.000

Results
Space-group type ... Ibam (72)
Mass density ... 8.035 g cm⁻³
Size of the total moment ... 0.3483 μB per atom



Which of them is the most stable? Correct choice: P.



P.
Material: Zn5Co3
Method: DFT, PBE-GGA
State: optimized geometry

Lattice parameters (Å, degrees): 5.138 5.138 3.780 90.00 90.00 91.92
Fractional positions:
Zn 0.000 0.000 0.000
Zn 0.000 0.500 0.000
Zn 0.268 0.268 0.500
Zn 0.500 0.000 0.000
Zn 0.732 0.732 0.500
Co 0.239 0.761 0.500
Co 0.500 0.500 0.000
Co 0.761 0.239 0.500

Results
Space-group type ... Cmmm (65)
Mass density ... 8.389 g cm⁻³
Size of the total moment ... 0.1385 μB per atom



Q.
Material: Zn5Co3
Method: DFT, PBE-GGA
State: optimized geometry

Lattice parameters (Å, degrees): 7.161 7.161 4.743 90.00 90.00 59.89
Fractional positions:
Zn 0.000 0.242 0.750
Zn 0.000 0.758 0.250
Zn 0.242 0.000 0.250
Zn 0.242 0.758 0.750
Zn 0.334 0.334 0.000
Zn 0.334 0.334 0.500
Zn 0.666 0.666 0.000
Zn 0.666 0.666 0.500
Zn 0.758 0.000 0.750
Zn 0.758 0.242 0.250
Co 0.001 0.399 0.250
Co 0.399 0.001 0.750
Co 0.399 0.601 0.250
Co 0.601 0.399 0.750
Co 0.601 0.999 0.250
Co 0.999 0.601 0.750

Results
Space-group type ... Cmcm (63)
Mass density ... 7.951 g cm⁻³
Size of the total moment ... 0.0733 μB per atom



Which of them is the most stable? Correct choice: P.



P.
Material: Zr4Co5
Method: DFT, PBE-GGA
State: optimized geometry

Lattice parameters (Å, degrees): 6.336 6.336 6.336 95.30 95.30 144.60
Fractional positions:
Zr 0.000 0.292 0.292
Zr 0.000 0.708 0.708
Zr 0.292 0.000 0.292
Zr 0.708 0.000 0.708
Co 0.000 0.000 0.000
Co 0.340 0.340 0.681
Co 0.340 0.660 0.000
Co 0.660 0.340 0.000
Co 0.660 0.660 0.319

Results
Space-group type ... I4/mmm (139)
Mass density ... 7.802 g cm⁻³
Size of the total moment ... 0.0001 μB per atom



Q.
Material: Zr4Co5
Method: DFT, PBE-GGA
State: optimized geometry

Lattice parameters (Å, degrees): 7.711 7.711 5.423 90.00 90.00 120.00
Fractional positions:
Zr 0.000 0.000 0.000
Zr 0.000 0.000 0.500
Zr 0.000 0.373 0.250
Zr 0.000 0.627 0.750
Zr 0.373 0.000 0.250
Zr 0.373 0.373 0.750
Zr 0.627 0.000 0.750
Zr 0.627 0.627 0.250
Co 0.000 0.308 0.750
Co 0.000 0.692 0.250
Co 0.308 0.000 0.750
Co 0.308 0.308 0.250
Co 0.333 0.667 0.000
Co 0.333 0.667 0.500
Co 0.667 0.333 0.000
Co 0.667 0.333 0.500
Co 0.692 0.000 0.250
Co 0.692 0.692 0.750

Results
Space-group type ... P6_3/mcm (193)
Mass density ... 7.844 g cm⁻³
Size of the total moment ... 0.0000 μB per atom



Which of them is the most stable? Correct choice: P.



P.
Material: Zr5Co4
Method: DFT, PBE-GGA
State: optimized geometry

Lattice parameters (Å, degrees): 8.107 8.107 5.418 90.00 90.00 120.00
Fractional positions:
Zr 0.000 0.273 0.250
Zr 0.000 0.727 0.750
Zr 0.273 0.000 0.250
Zr 0.273 0.273 0.750
Zr 0.333 0.667 0.000
Zr 0.333 0.667 0.500
Zr 0.667 0.333 0.000
Zr 0.667 0.333 0.500
Zr 0.727 0.000 0.750
Zr 0.727 0.727 0.250
Co 0.000 0.000 0.000
Co 0.000 0.000 0.500
Co 0.000 0.404 0.750
Co 0.000 0.596 0.250
Co 0.404 0.000 0.750
Co 0.404 0.404 0.250
Co 0.596 0.000 0.250
Co 0.596 0.596 0.750

Results
Space-group type ... P6_3/mcm (193)
Mass density ... 7.451 g cm⁻³
Size of the total moment ... 0.0000 μB per atom



Q.
Material: Zr5Co4
Method: DFT, PBE-GGA
State: optimized geometry

Lattice parameters (Å, degrees): 6.148 6.148 6.148 98.50 98.50 134.79
Fractional positions:
Zr 0.000 0.000 0.000
Zr 0.316 0.316 0.633
Zr 0.316 0.684 0.000
Zr 0.684 0.316 0.000
Zr 0.684 0.684 0.367
Co 0.000 0.354 0.354
Co 0.000 0.646 0.646
Co 0.354 0.000 0.354
Co 0.646 0.000 0.646

Results
Space-group type ... I4/mmm (139)
Mass density ... 7.544 g cm⁻³
Size of the total moment ... 0.1162 μB per atom



Which of them is the most stable? Correct choice: P.



P.
Material: ZrCo6
Method: DFT, PBE-GGA
State: optimized geometry

Lattice parameters (Å, degrees): 7.711 4.700 9.670 90.00 90.00 90.00
Fractional positions:
Zr 0.243 0.250 0.060
Zr 0.257 0.750 0.560
Zr 0.743 0.250 0.440
Zr 0.757 0.750 0.940
Co 0.059 0.750 0.085
Co 0.070 0.010 0.308
Co 0.070 0.490 0.308
Co 0.096 0.250 0.522
Co 0.138 0.750 0.851
Co 0.184 0.250 0.756
Co 0.316 0.750 0.256
Co 0.362 0.250 0.351
Co 0.404 0.750 0.022
Co 0.430 0.510 0.808
Co 0.430 0.990 0.808
Co 0.441 0.250 0.585
Co 0.559 0.750 0.415
Co 0.570 0.010 0.192
Co 0.570 0.490 0.192
Co 0.596 0.250 0.978
Co 0.638 0.750 0.649
Co 0.684 0.250 0.744
Co 0.816 0.750 0.244
Co 0.862 0.250 0.149
Co 0.904 0.750 0.478
Co 0.930 0.510 0.692
Co 0.930 0.990 0.692
Co 0.941 0.250 0.915

Results
Space-group type ... Pnma (62)
Mass density ... 8.430 g cm⁻³
Size of the total moment ... 1.1754 μB per atom



Q.
Material: ZrCo6
Method: DFT, PBE-GGA
State: optimized geometry

Lattice parameters (Å, degrees): 5.228 5.228 5.228 90.00 90.00 90.00
Fractional positions:
Zr 0.000 0.000 0.000
Co 0.195 0.500 0.500
Co 0.500 0.195 0.500
Co 0.500 0.500 0.195
Co 0.500 0.500 0.805
Co 0.500 0.805 0.500
Co 0.805 0.500 0.500

Results
Space-group type ... Pm-3m (221)
Mass density ... 5.171 g cm⁻³
Size of the total moment ... 1.2302 μB per atom



Which of them is the most stable? Correct choice: P.